(1)
Entry from the Alexandria database: crystalline In2Ga2Br5 at its relaxed geometry (PBE-GGA).

Computed properties:
The formation energy (no corrections) comes out at -5.24 eV/f.u. Its space group is Ima2 (46). The calculation puts the energy above the lowest structure with this stoichiometry at 0 meV per atom.

abc: 11.574 11.574 11.574
angles: 58.93 140.19 138.41
Fractional positions:
1 In 0.000 0.000 0.000
2 In 0.000 0.500 0.500
3 In 0.198 0.951 0.747
4 In 0.204 0.451 0.253
5 Ga 0.587 0.224 0.597
6 Ga 0.587 0.490 0.863
7 Ga 0.627 0.724 0.137
8 Ga 0.627 0.990 0.403
9 Br 0.009 0.277 0.783
10 Br 0.009 0.726 0.231
11 Br 0.051 0.087 0.244
12 Br 0.051 0.307 0.464
13 Br 0.453 0.842 0.111
14 Br 0.495 0.226 0.217
15 Br 0.495 0.777 0.769
16 Br 0.731 0.342 0.889
17 Br 0.843 0.587 0.536
18 Br 0.843 0.807 0.756

(2)
Entry from the Alexandria database: crystalline Er3Hg2H at its relaxed geometry (PBE-GGA).

Computed properties:
Its space group is C2/c (15).

abc: 6.352 6.352 7.716
angles: 105.31 105.31 66.72
Fractional positions:
1 Er 0.099 0.901 0.750
2 Er 0.286 0.443 0.039
3 Er 0.443 0.286 0.539
4 Er 0.557 0.714 0.461
5 Er 0.714 0.557 0.961
6 Er 0.901 0.099 0.250
7 Hg 0.018 0.630 0.352
8 Hg 0.370 0.982 0.148
9 Hg 0.630 0.018 0.852
10 Hg 0.982 0.370 0.648
11 H 0.409 0.591 0.750
12 H 0.591 0.409 0.250

(3)
Entry from the Alexandria database: crystalline LiLa2S3 at its relaxed geometry (PBE-GGA).

Computed properties:
The formation energy (no corrections) comes out at -11.78 eV/f.u. Its space group is Pnma (62).

abc: 11.152 4.052 11.720
angles: 90.00 90.00 90.00
Fractional positions:
1 Li 0.249 0.250 0.213
2 Li 0.251 0.750 0.713
3 Li 0.749 0.250 0.287
4 Li 0.751 0.750 0.787
5 La 0.015 0.750 0.321
6 La 0.182 0.750 0.988
7 La 0.318 0.250 0.488
8 La 0.485 0.250 0.821
9 La 0.515 0.750 0.179
10 La 0.682 0.750 0.512
11 La 0.818 0.250 0.012
12 La 0.985 0.250 0.679
13 S 0.054 0.250 0.132
14 S 0.126 0.750 0.553
15 S 0.217 0.250 0.807
16 S 0.283 0.750 0.307
17 S 0.374 0.250 0.053
18 S 0.446 0.750 0.632
19 S 0.554 0.250 0.368
20 S 0.626 0.750 0.947
21 S 0.717 0.250 0.693
22 S 0.783 0.750 0.193
23 S 0.874 0.250 0.447
24 S 0.946 0.750 0.868

(4)
Entry from the Alexandria database: crystalline Tb5Tm7 at its relaxed geometry (PBE-GGA).

Computed properties:
The energy of formation is 0.20 eV per atom. Its space group is C2/m (12). The calculation puts the energy above the lowest structure with this stoichiometry at 193 meV per atom.

abc: 5.540 5.540 14.488
angles: 101.06 101.06 60.28
Fractional positions:
1 Tb 0.000 0.000 0.000
2 Tb 0.145 0.145 0.438
3 Tb 0.394 0.394 0.195
4 Tb 0.606 0.606 0.805
5 Tb 0.855 0.855 0.562
6 Tm 0.066 0.066 0.213
7 Tm 0.228 0.228 0.673
8 Tm 0.309 0.309 0.921
9 Tm 0.500 0.500 0.500
10 Tm 0.691 0.691 0.079
11 Tm 0.772 0.772 0.327
12 Tm 0.934 0.934 0.787

(5)
Entry from the Alexandria database: crystalline La2SmHo2Mg5 at its relaxed geometry (PBE-GGA).

Computed properties:
The energy of formation is 0.00 eV per atom. Its space group is P4/mbm (127).

abc: 10.678 10.678 5.137
angles: 90.00 90.00 90.00
Fractional positions:
1 La 0.176 0.324 0.000
2 La 0.324 0.824 0.000
3 La 0.676 0.176 0.000
4 La 0.824 0.676 0.000
5 Sm 0.000 0.000 0.000
6 Sm 0.500 0.500 0.000
7 Ho 0.120 0.620 0.000
8 Ho 0.380 0.120 0.000
9 Ho 0.620 0.880 0.000
10 Ho 0.880 0.380 0.000
11 Mg 0.000 0.500 0.500
12 Mg 0.073 0.801 0.500
13 Mg 0.199 0.073 0.500
14 Mg 0.301 0.573 0.500
15 Mg 0.427 0.301 0.500
16 Mg 0.500 0.000 0.500
17 Mg 0.573 0.699 0.500
18 Mg 0.699 0.427 0.500
19 Mg 0.801 0.927 0.500
20 Mg 0.927 0.199 0.500

(6)
Entry from the Alexandria database: crystalline VCr3Tc at its relaxed geometry (PBE-GGA).

Computed properties:
The energy of formation is 0.23 eV per atom. Its space group is P2_1/m (11). The calculation puts the energy above the lowest structure with this stoichiometry at 67 meV per atom.

abc: 4.461 4.775 6.443
angles: 90.00 109.10 90.00
Fractional positions:
1 V 0.109 0.250 0.495
2 V 0.891 0.750 0.505
3 Cr 0.184 0.514 0.896
4 Cr 0.184 0.986 0.896
5 Cr 0.476 0.250 0.258
6 Cr 0.524 0.750 0.742
7 Cr 0.816 0.014 0.104
8 Cr 0.816 0.486 0.104
9 Tc 0.333 0.750 0.308
10 Tc 0.667 0.250 0.692

(7)
Entry from the Alexandria database: crystalline Cu2NiPd6 at its relaxed geometry (PBE-GGA).

Computed properties:
The energy of formation is -0.04 eV per atom. Its space group is Fmmm (69). The calculation puts the energy above the lowest structure with this stoichiometry at 0 meV per atom.

abc: 8.080 6.206 5.874
angles: 83.91 49.80 46.29
Fractional positions:
1 Cu 0.168 0.168 0.832
2 Cu 0.832 0.832 0.168
3 Ni 0.500 0.500 0.500
4 Pd 0.157 0.843 0.157
5 Pd 0.175 0.493 0.507
6 Pd 0.493 0.175 0.825
7 Pd 0.507 0.825 0.175
8 Pd 0.825 0.507 0.493
9 Pd 0.843 0.157 0.843

(8)
Entry from the Alexandria database: crystalline La2YErS6 at its relaxed geometry (PBE-GGA).

Computed properties:
The formation energy (no corrections) comes out at -21.09 eV/f.u. Its space group is R3 (146).

abc: 7.409 7.409 7.409
angles: 57.51 57.51 57.51
Fractional positions:
1 La 0.000 0.000 0.000
2 La 0.500 0.500 0.500
3 Y 0.290 0.290 0.290
4 Er 0.791 0.791 0.791
5 S 0.077 0.420 0.667
6 S 0.165 0.917 0.580
7 S 0.420 0.667 0.077
8 S 0.580 0.165 0.917
9 S 0.667 0.077 0.420
10 S 0.917 0.580 0.165

Fermi-level density of states readings, ordered: 0.2098 0.6771 0.3548 1.6183 0.7024 1.1727 1.4712 0.0000 states/eV/atom
Ρ readings, ordered: 3.9 11.1 4.8 8.7 5.0 7.8 10.7 4.4 g/cm³
Calculated total energy readings, ordered: -0.103 -0.123 -0.220 -0.159 -0.116 -0.347 -0.186 -0.245 Ha/atom